Entry 1:
Compound: MoIr3F
Source: the Alexandria database
Functional: PBE with a Hubbard U
Structure: relaxed

abc: 4.289 4.289 4.289
angles: 90.00 90.00 90.00
Space group Pm-3m (No. 221)
One atom of each set of equivalent atoms:
Mo 0.000 0.000 0.000 (multiplicity 1)
Ir 0.000 0.500 0.500 (multiplicity 3)
F 0.500 0.500 0.500 (multiplicity 1)

Output
- Calculated total energy: -5.819 eV/atom
- M_tot: 0.210 μB/atom

***

Entry 2:
Compound: Mo2IrF
Source: the Alexandria database
Functional: PBE with a Hubbard U
Structure: relaxed

abc: 6.461 6.461 6.130
angles: 90.00 90.00 90.00
Space group I-42d (No. 122)
One atom of each set of equivalent atoms:
Mo 0.213 0.750 0.125 (multiplicity 8)
Ir 0.000 0.000 0.500 (multiplicity 4)
F 0.000 0.000 0.000 (multiplicity 4)

Output
- Calculated total energy: -5.656 eV/atom
- M_tot: 0.787 μB/atom

***

no.,energy relative to the lowest polymorph listed for this composition (eV per atom)
1,0.0000
2,0.0000